(1)
This record from Alexandria via LeMat-Bulk describes a relaxed structure of TaGe4Mo. The functional is GGA-PBE.

Cell lengths 3.3623, 4.8314, 6.7651 Å; angles 110.43, 90.00, 110.36 degrees
Fractional positions:
Ta 0.5000 0.5000 0.0000
Ge 0.1616 0.8233 0.3353
Ge 0.8384 0.1767 0.6647
Ge 0.8366 0.1732 0.1734
Ge 0.1634 0.8268 0.8266
Mo 0.5000 0.5000 0.5000

Output
Total moment: 0.0 μB per formula unit
Symmetry: C2/m
ΔE_f: -0.98 eV/f.u.


(2)
This record from Alexandria via LeMat-Bulk describes a relaxed structure of Si2PtPb. The functional is GGA-PBE.

Cell lengths 5.1561, 5.1561, 5.1561 Å; angles 136.77, 110.00, 85.95 degrees
Fractional positions:
Pb 0.4907 0.4907 0.0000
Pt 0.1900 0.6900 0.5000
Si 0.0040 0.0040 0.0000
Si 0.8153 0.3153 0.5000

Output
Total moment: 0.0 μB per formula unit
Symmetry: Imm2
E_form (uncorrected): 0.24 eV/atom


(3)
This record from Alexandria via LeMat-Bulk describes a relaxed structure of Ce4Sn2Rh. The functional is GGA-PBE.

Cell lengths 4.6267, 6.2475, 6.2475 Å; angles 95.25, 90.00, 90.00 degrees
Fractional positions:
Ce 0.0000 0.8380 0.8380
Ce 0.0000 0.1620 0.1620
Ce 0.5000 0.0000 0.5000
Ce 0.5000 0.5000 0.0000
Sn 0.0000 0.6763 0.3237
Sn 0.0000 0.3237 0.6763
Rh 0.5000 0.5000 0.5000

Output
Total moment: 2.9 μB per formula unit
Symmetry: Cmmm
ΔE_f: -2.98 eV/f.u.